(1)
First-principles (PBE) data for a relaxed structure of NdHo3Th3, as listed in Alexandria via LeMat-Bulk.

Properties
The energy above the most stable polymorph in this dataset comes out at 0.024 eV/atom. Its crystal system is hexagonal. The value obtained for the energy of formation from the pure elements is 6.8 kJ per mole of atoms. Its uncorrected energy is -5.752 eV/atom.

```
data_NdHo3Th3
_cell_length_a 9.5030
_cell_length_b 9.5030
_cell_length_c 5.8406
_cell_angle_alpha 90.00
_cell_angle_beta 90.00
_cell_angle_gamma 120.00
_space_group_name_H-M_alt 'P 63/m'
_space_group_IT_number 176
_space_group_name_Hall '-P 6c'
loop_
_atom_site_label
_atom_site_fract_x
_atom_site_fract_y
_atom_site_fract_z
Nd1 0.3333 0.6667 0.2500
Ho1 0.0425 0.2372 0.2500
Th1 0.1009 0.4842 0.7500
```


(2)
First-principles (PBE) data for a relaxed structure of NdHo7Th2, as listed in Alexandria via LeMat-Bulk.

Properties
The energy above the most stable polymorph in this dataset comes out at 0.000 eV/atom. Its crystal system is monoclinic. The value obtained for the energy of formation from the pure elements is 42.1 kJ per mole of atoms. Its uncorrected energy is -4.729 eV/atom.

```
data_NdHo7Th2
_cell_length_a 12.424
_cell_length_b 11.340
_cell_length_c 5.546
_cell_angle_alpha 90.00
_cell_angle_beta 116.38
_cell_angle_gamma 90.00
_space_group_name_H-M_alt 'C 1 2/m 1'
_space_group_IT_number 12
loop_
_space_group_symop_operation_xyz
'x,y,z'
'-x,-y,-z'
'-x,y,-z'
'x,-y,z'
'x+1/2,y+1/2,z'
'-x+1/2,-y+1/2,-z'
'-x+1/2,y+1/2,-z'
'x+1/2,-y+1/2,z'
loop_
_atom_site_label
_atom_site_fract_x
_atom_site_fract_y
_atom_site_fract_z
Nd1 0.000 0.000 0.000
Ho1 0.000 0.336 0.000
Ho2 0.000 0.500 0.500
Ho3 0.248 0.349 0.748
Th1 0.000 0.156 0.500
```